The following is a DFT calculation (PBE) of Pm4Pr3 after structural relaxation.

Computed properties:
crystal system	monoclinic
DFT formation energy	0.109	eV/atom
E above lowest polymorph	96	meV/atom

Lattice parameters (Å, degrees): 17.226 3.554 9.028 90.00 116.55 90.00
Space group C2/m (No. 12)
Unique sites:
Pm: 0.077 0.000 0.201 [4 per cell]
Pm: 0.137 0.500 0.910 [4 per cell]
Pr: 0.000 0.000 0.500 [2 per cell]
Pr: 0.223 0.000 0.650 [4 per cell]

=====

The following is a DFT calculation (PBE) of K3CrTe after structural relaxation.

Computed properties:
crystal system	cubic
E above lowest polymorph	0	meV/atom

Lattice parameters (Å, degrees): 6.648 6.648 6.648 90.00 90.00 90.00
Space group Pm-3m (No. 221)
Unique sites:
K: 0.000 0.000 0.500 [3 per cell]
Cr: 0.500 0.500 0.500 [1 per cell]
Te: 0.000 0.000 0.000 [1 per cell]